# 1
# CdSbCl2, single point on PBEsol structure, DFT SCAN
# - Energy above the most stable polymorph in this dataset: 221 meV per atom
# - Formation energy from raw total energies: -1.36 eV per formula unit
# - Mass density: 5.16 g/cm3
data_CdSbCl2
_chemical_formula_sum 'Cd2 Sb2 Cl4'
_cell_length_a 3.6007
_cell_length_b 5.5216
_cell_length_c 9.8788
_cell_angle_alpha 90.00
_cell_angle_beta 90.00
_cell_angle_gamma 90.00
_space_group_name_H-M_alt 'I m m m'
_space_group_IT_number 71
_space_group_name_Hall '-I 2 2'
loop_
_atom_site_label
_atom_site_type_symbol
_atom_site_fract_x
_atom_site_fract_y
_atom_site_fract_z
Cd1 Cd 0.0000 0.0000 0.0000
Sb1 Sb 0.0000 0.0000 0.5000
Cl1 Cl 0.0000 0.5000 0.2054

# 2
# CdSbCl2, single point on PBEsol structure, DFT SCAN
# - Energy above the most stable polymorph in this dataset: 0 meV per atom
# - Formation energy from raw total energies: -2.24 eV per formula unit
# - Mass density: 4.36 g/cm3
data_CdSbCl2
_chemical_formula_sum 'Cd3 Sb3 Cl6'
_cell_length_a 3.4888
_cell_length_b 3.4888
_cell_length_c 33.0469
_cell_angle_alpha 90.00
_cell_angle_beta 90.00
_cell_angle_gamma 120.00
_space_group_name_H-M_alt 'R -3 m'
_space_group_IT_number 166
_space_group_name_Hall '-R 3 2"'
loop_
_atom_site_label
_atom_site_type_symbol
_atom_site_fract_x
_atom_site_fract_y
_atom_site_fract_z
Cd1 Cd 0.0000 0.0000 0.0000
Sb1 Sb 0.0000 0.0000 0.5000
Cl1 Cl 0.0000 0.0000 0.2844

# 3
# CdSbCl, single point on PBEsol structure, DFT SCAN
# - Energy above the most stable polymorph in this dataset: 0 meV per atom
# - Formation energy from raw total energies: -1.21 eV per formula unit
# - Mass density: 5.98 g/cm3
data_CdSbCl
_chemical_formula_sum 'Cd1 Sb1 Cl1'
_cell_length_a 3.4579
_cell_length_b 3.4579
_cell_length_c 7.2280
_cell_angle_alpha 90.00
_cell_angle_beta 90.00
_cell_angle_gamma 120.00
_space_group_name_H-M_alt 'P 3 m 1'
_space_group_IT_number 156
loop_
_space_group_symop_operation_xyz
'x,y,z'
'-y,x-y,z'
'-x+y,-x,z'
'-y,-x,z'
'-x+y,y,z'
'x,x-y,z'
loop_
_atom_site_label
_atom_site_type_symbol
_atom_site_fract_x
_atom_site_fract_y
_atom_site_fract_z
Cd1 Cd 0.0000 0.0000 0.0000
Sb1 Sb 0.6667 0.3333 0.3177
Cl1 Cl 0.3333 0.6667 0.7622

# 4
# CdSbCl2, single point on PBEsol structure, DFT SCAN
# - Energy above the most stable polymorph in this dataset: 409 meV per atom
# - Formation energy from raw total energies: -0.61 eV per formula unit
# - Mass density: 5.32 g/cm3
data_CdSbCl2
_chemical_formula_sum 'Cd2 Sb2 Cl4'
_cell_length_a 4.0145
_cell_length_b 4.0145
_cell_length_c 11.8173
_cell_angle_alpha 90.00
_cell_angle_beta 90.00
_cell_angle_gamma 90.00
_space_group_name_H-M_alt 'I -4 m 2'
_space_group_IT_number 119
_space_group_name_Hall 'I -4 -2'
loop_
_atom_site_label
_atom_site_type_symbol
_atom_site_fract_x
_atom_site_fract_y
_atom_site_fract_z
Cd1 Cd 0.0000 0.0000 0.0000
Sb1 Sb 0.0000 0.5000 0.7500
Cl1 Cl 0.0000 0.0000 0.5000
Cl2 Cl 0.0000 0.5000 0.2500

# 5
# CdSbTe2Cl, single point on PBEsol structure, DFT SCAN
# - Formation energy from raw total energies: 2.73 eV per formula unit
# - Mass density: 5.35 g/cm3
data_CdSbTe2Cl
_chemical_formula_sum 'Cd1 Sb1 Te2 Cl1'
_cell_length_a 5.4112
_cell_length_b 5.4112
_cell_length_c 5.5673
_cell_angle_alpha 90.00
_cell_angle_beta 90.00
_cell_angle_gamma 90.00
_space_group_name_H-M_alt 'P 4/m m m'
_space_group_IT_number 123
_space_group_name_Hall '-P 4 2'
loop_
_atom_site_label
_atom_site_type_symbol
_atom_site_fract_x
_atom_site_fract_y
_atom_site_fract_z
Cd1 Cd 0.0000 0.0000 0.0000
Sb1 Sb 0.0000 0.0000 0.5000
Te1 Te 0.0000 0.5000 0.0000
Cl1 Cl 0.5000 0.5000 0.5000

# 6
# Sc2CdCl, single point on PBEsol structure, DFT SCAN
# - Energy above the most stable polymorph in this dataset: 303 meV per atom
# - Formation energy from raw total energies: -1.59 eV per formula unit
# - Mass density: 4.81 g/cm3
data_Sc2CdCl
_chemical_formula_sum 'Sc8 Cd4 Cl4'
_cell_length_a 6.8968
_cell_length_b 6.8968
_cell_length_c 6.8968
_cell_angle_alpha 90.00
_cell_angle_beta 90.00
_cell_angle_gamma 90.00
_space_group_name_H-M_alt 'F m -3 m'
_space_group_IT_number 225
_space_group_name_Hall '-F 4 2 3'
loop_
_atom_site_label
_atom_site_type_symbol
_atom_site_fract_x
_atom_site_fract_y
_atom_site_fract_z
Sc1 Sc 0.2500 0.2500 0.2500
Cd1 Cd 0.0000 0.0000 0.0000
Cl1 Cl 0.0000 0.0000 0.5000

# 7
# Sc2CdCl, single point on PBEsol structure, DFT SCAN
# - Energy above the most stable polymorph in this dataset: 88 meV per atom
# - Formation energy from raw total energies: -2.45 eV per formula unit
# - Mass density: 4.88 g/cm3
data_Sc2CdCl
_chemical_formula_sum 'Sc4 Cd2 Cl2'
_cell_length_a 3.4955
_cell_length_b 5.2611
_cell_length_c 8.7938
_cell_angle_alpha 90.00
_cell_angle_beta 90.00
_cell_angle_gamma 90.00
_space_group_name_H-M_alt 'C m m m'
_space_group_IT_number 65
_space_group_name_Hall '-C 2 2'
loop_
_atom_site_label
_atom_site_type_symbol
_atom_site_fract_x
_atom_site_fract_y
_atom_site_fract_z
Sc1 Sc 0.0000 0.0000 0.2298
Cd1 Cd 0.0000 0.5000 0.5000
Cl1 Cl 0.0000 0.5000 0.0000

# 8
# Sc2CdCl, single point on PBEsol structure, DFT SCAN
# - Energy above the most stable polymorph in this dataset: 0 meV per atom
# - Formation energy from raw total energies: -2.80 eV per formula unit
# - Mass density: 4.29 g/cm3
data_Sc2CdCl
_chemical_formula_sum 'Sc2 Cd1 Cl1'
_cell_length_a 3.1930
_cell_length_b 3.1930
_cell_length_c 9.0328
_cell_angle_alpha 90.00
_cell_angle_beta 90.00
_cell_angle_gamma 90.00
_space_group_name_H-M_alt 'P 4 m m'
_space_group_IT_number 99
loop_
_space_group_symop_operation_xyz
'x,y,z'
'-y,x,z'
'-x,-y,z'
'y,-x,z'
'-x,y,z'
'y,x,z'
'x,-y,z'
'-y,-x,z'
loop_
_atom_site_label
_atom_site_type_symbol
_atom_site_fract_x
_atom_site_fract_y
_atom_site_fract_z
Sc1 Sc 0.0000 0.0000 0.0000
Sc2 Sc 0.5000 0.5000 0.2558
Cd1 Cd 0.0000 0.0000 0.4808
Cl1 Cl 0.5000 0.5000 0.8392

# 9
# Sc2CdCl, single point on PBEsol structure, DFT SCAN
# - Energy above the most stable polymorph in this dataset: 84 meV per atom
# - Formation energy from raw total energies: -2.47 eV per formula unit
# - Mass density: 4.73 g/cm3
data_Sc2CdCl
_chemical_formula_sum 'Sc4 Cd2 Cl2'
_cell_length_a 3.1518
_cell_length_b 4.7646
_cell_length_c 11.1169
_cell_angle_alpha 90.00
_cell_angle_beta 90.00
_cell_angle_gamma 90.00
_space_group_name_H-M_alt 'I m m 2'
_space_group_IT_number 44
loop_
_space_group_symop_operation_xyz
'x,y,z'
'-x,-y,z'
'-x,y,z'
'x,-y,z'
'x+1/2,y+1/2,z+1/2'
'-x+1/2,-y+1/2,z+1/2'
'-x+1/2,y+1/2,z+1/2'
'x+1/2,-y+1/2,z+1/2'
loop_
_atom_site_label
_atom_site_type_symbol
_atom_site_fract_x
_atom_site_fract_y
_atom_site_fract_z
Sc1 Sc 0.0000 0.0000 0.0000
Sc2 Sc 0.0000 0.5000 0.2513
Cd1 Cd 0.0000 0.5000 0.8050
Cl1 Cl 0.0000 0.0000 0.5640

# 10
# CdSe2Cl, single point on PBEsol structure, DFT SCAN
# - Energy above the most stable polymorph in this dataset: 0 meV per atom
# - Formation energy from raw total energies: -0.72 eV per formula unit
# - Mass density: 5.31 g/cm3
data_CdSe2Cl
_chemical_formula_sum 'Cd2 Se4 Cl2'
_cell_length_a 3.4529
_cell_length_b 6.5756
_cell_length_c 8.4275
_cell_angle_alpha 90.00
_cell_angle_beta 90.00
_cell_angle_gamma 90.00
_space_group_name_H-M_alt 'I m m 2'
_space_group_IT_number 44
loop_
_space_group_symop_operation_xyz
'x,y,z'
'-x,-y,z'
'-x,y,z'
'x,-y,z'
'x+1/2,y+1/2,z+1/2'
'-x+1/2,-y+1/2,z+1/2'
'-x+1/2,y+1/2,z+1/2'
'x+1/2,-y+1/2,z+1/2'
loop_
_atom_site_label
_atom_site_type_symbol
_atom_site_fract_x
_atom_site_fract_y
_atom_site_fract_z
Cd1 Cd 0.0000 0.0000 0.0000
Se1 Se 0.0000 0.0000 0.5306
Se2 Se 0.0000 0.5000 0.2480
Cl1 Cl 0.0000 0.5000 0.7164

# 11
# CdSe2Cl, single point on PBEsol structure, DFT SCAN
# - Energy above the most stable polymorph in this dataset: 178 meV per atom
# - Formation energy from raw total energies: -0.01 eV per formula unit
# - Mass density: 5.86 g/cm3
data_CdSe2Cl
_chemical_formula_sum 'Cd1 Se2 Cl1'
_cell_length_a 3.3046
_cell_length_b 3.3046
_cell_length_c 7.9341
_cell_angle_alpha 90.00
_cell_angle_beta 90.00
_cell_angle_gamma 90.00
_space_group_name_H-M_alt 'P 4 m m'
_space_group_IT_number 99
loop_
_space_group_symop_operation_xyz
'x,y,z'
'-y,x,z'
'-x,-y,z'
'y,-x,z'
'-x,y,z'
'y,x,z'
'x,-y,z'
'-y,-x,z'
loop_
_atom_site_label
_atom_site_type_symbol
_atom_site_fract_x
_atom_site_fract_y
_atom_site_fract_z
Cd1 Cd 0.0000 0.0000 0.0000
Se1 Se 0.0000 0.0000 0.5529
Se2 Se 0.5000 0.5000 0.7405
Cl1 Cl 0.5000 0.5000 0.1923

# 12
# CdSeCl3, single point on PBEsol structure, DFT SCAN
# - Formation energy from raw total energies: -1.65 eV per formula unit
# - Mass density: 3.71 g/cm3
data_CdSeCl3
_chemical_formula_sum 'Cd1 Se1 Cl3'
_cell_length_a 5.1067
_cell_length_b 5.1067
_cell_length_c 5.1067
_cell_angle_alpha 90.00
_cell_angle_beta 90.00
_cell_angle_gamma 90.00
_space_group_name_H-M_alt 'P m -3 m'
_space_group_IT_number 221
_space_group_name_Hall '-P 4 2 3'
loop_
_atom_site_label
_atom_site_type_symbol
_atom_site_fract_x
_atom_site_fract_y
_atom_site_fract_z
Cd1 Cd 0.0000 0.0000 0.0000
Se1 Se 0.5000 0.5000 0.5000
Cl1 Cl 0.0000 0.0000 0.5000